# 1
# TlCd4Sn4

Crystalline TlCd4Sn4 at its relaxed geometry (PBE, the Alexandria database).

Values from the calculation:
Size of the total moment   0.00 μB per formula unit
Polymorph energy (0 for the lowest one)   0.34 eV/f.u.
Final energy   -2.3488 eV/atom
N(E_F)   0.42 states/eV/atom

a b c (Å): 7.2129 7.2129 10.0760
angles (deg): 90.00 90.00 90.00
Fractional coordinates of all 18 atoms:
Tl: 0.0000 0.0000 0.0000
Tl: 0.5000 0.5000 0.5000
Cd: 0.7490 0.0000 0.7181
Cd: 0.2490 0.5000 0.7819
Cd: 0.2510 0.0000 0.7181
Cd: 0.5000 0.7510 0.2181
Cd: 0.7510 0.5000 0.7819
Cd: 0.0000 0.7490 0.2819
Cd: 0.0000 0.2510 0.2819
Cd: 0.5000 0.2490 0.2181
Sn: 0.7874 0.5000 0.0863
Sn: 0.2874 0.0000 0.4137
Sn: 0.7126 0.0000 0.4137
Sn: 0.0000 0.7126 0.5863
Sn: 0.5000 0.2126 0.9137
Sn: 0.2126 0.5000 0.0863
Sn: 0.5000 0.7874 0.9137
Sn: 0.0000 0.2874 0.5863

# 2
# Pm3Er2TmS6

Crystalline Pm3Er2TmS6 at its relaxed geometry (PBE, the Alexandria database).

Values from the calculation:
Size of the total moment   0.00 μB per formula unit
Final energy   -6.3845 eV/atom
N(E_F)   0.43 states/eV/atom

a b c (Å): 6.7864 6.7864 6.9251
angles (deg): 99.38 99.38 120.17
Fractional coordinates of all 12 atoms:
Er: 0.6667 0.3333 0.0000
Er: 0.3333 0.6667 0.0000
Pm: 0.5000 0.5000 0.5000
Pm: 0.8326 0.1674 0.5000
Pm: 0.1674 0.8326 0.5000
S: 0.0774 0.4094 0.2326
S: 0.7457 0.7457 0.2332
S: 0.2543 0.2543 0.7668
S: 0.4094 0.0774 0.2326
S: 0.9226 0.5906 0.7674
S: 0.5906 0.9226 0.7674
Tm: 0.0000 0.0000 0.0000

Sequential volume output: 524.21, 260.57 Å³/cell